A geometry-optimized TbSe structure, computed with PBE.

* symmetry: P6_3/mmc, No. 194
* DFT total energy: -46.68 eV/cell
* crystal system: hexagonal

a = 4.015 Å, b = 4.015 Å, c = 13.946 Å
α = 90.00°, β = 90.00°, γ = 120.00°
Atoms (fractional coordinates):
Se 0.000 0.000 0.000
Se 0.667 0.333 0.250
Se 0.000 0.000 0.500
Se 0.333 0.667 0.750
Tb 0.333 0.667 0.117
Tb 0.333 0.667 0.383
Tb 0.667 0.333 0.617
Tb 0.667 0.333 0.883